# PBE HfScRe, relaxed
data_HfScRe
_chemical_formula_sum 'Hf4 Sc4 Re4'
_space_group_name_H-M_alt 'C 1 2/m 1'
_space_group_IT_number 12
_space_group_name_Hall '-C 2y'
_cell_length_a 10.1619
_cell_length_b 4.6830
_cell_length_c 5.8750
_cell_angle_alpha 90.00
_cell_angle_beta 123.31
_cell_angle_gamma 90.00
loop_
_atom_site_label
_atom_site_type_symbol
_atom_site_fract_x
_atom_site_fract_y
_atom_site_fract_z
Hf1 Hf 0.0413 0.0000 0.2878
Sc1 Sc 0.1773 0.5000 0.0952
Re1 Re 0.1425 0.5000 0.5698
# DFT formation energy in eV per atom: -0.142
# V in Å³/cell: 233.6
# Polymorph energy (0 for the lowest one) in kJ/mol of atoms: 0.77

# PBE LaCe2Ge6, relaxed
data_LaCe2Ge6
_chemical_formula_sum 'La1 Ce2 Ge6'
_space_group_name_H-M_alt 'P 6/m m m'
_space_group_IT_number 191
_space_group_name_Hall '-P 6 2'
_cell_length_a 7.6035
_cell_length_b 7.6035
_cell_length_c 4.1405
_cell_angle_alpha 90.00
_cell_angle_beta 90.00
_cell_angle_gamma 120.00
loop_
_atom_site_label
_atom_site_type_symbol
_atom_site_fract_x
_atom_site_fract_y
_atom_site_fract_z
La1 La 0.0000 0.0000 0.0000
Ce1 Ce 0.3333 0.6667 0.0000
Ge1 Ge 0.0000 0.3358 0.5000
# DFT formation energy in eV per atom: -0.590
# V in Å³/cell: 207.3

# PBE Li2PaNbN4, relaxed
data_Li2PaNbN4
_chemical_formula_sum 'Li8 Pa4 Nb4 N16'
_space_group_name_H-M_alt 'C m c m'
_space_group_IT_number 63
_space_group_name_Hall '-C 2c 2'
_cell_length_a 3.4122
_cell_length_b 12.4224
_cell_length_c 9.1644
_cell_angle_alpha 90.00
_cell_angle_beta 90.00
_cell_angle_gamma 90.00
loop_
_atom_site_label
_atom_site_type_symbol
_atom_site_fract_x
_atom_site_fract_y
_atom_site_fract_z
Li1 Li 0.0000 0.0849 0.0412
Pa1 Pa 0.0000 0.4371 0.2500
Nb1 Nb 0.0000 0.2907 0.7500
N1 N 0.0000 0.1123 0.2500
N2 N 0.0000 0.1730 0.6176
N3 N 0.0000 0.5000 0.0000
# Formation energy from raw total energies in eV/atom: -0.658
# V in Å³/cell: 388.5

# PBE LiYSe2, relaxed
data_LiYSe2
_chemical_formula_sum 'Li2 Y2 Se4'
_space_group_name_H-M_alt 'C m m m'
_space_group_IT_number 65
_space_group_name_Hall '-C 2 2'
_cell_length_a 4.3911
_cell_length_b 5.7898
_cell_length_c 7.2630
_cell_angle_alpha 90.00
_cell_angle_beta 90.00
_cell_angle_gamma 90.00
loop_
_atom_site_label
_atom_site_type_symbol
_atom_site_fract_x
_atom_site_fract_y
_atom_site_fract_z
Li1 Li 0.0000 0.0000 0.0000
Y1 Y 0.0000 0.0000 0.5000
Se1 Se 0.0000 0.5000 0.2531
# Formation energy from raw total energies in eV/atom: -1.363
# V in Å³/cell: 184.7

# PBE LaDyPb, relaxed
data_LaDyPb
_chemical_formula_sum 'La2 Dy2 Pb2'
_space_group_name_H-M_alt 'I 4 m m'
_space_group_IT_number 107
_space_group_name_Hall 'I 4 -2'
_cell_length_a 4.2291
_cell_length_b 4.2291
_cell_length_c 10.2390
_cell_angle_alpha 90.00
_cell_angle_beta 90.00
_cell_angle_gamma 90.00
loop_
_atom_site_label
_atom_site_type_symbol
_atom_site_fract_x
_atom_site_fract_y
_atom_site_fract_z
La1 La 0.0000 0.0000 0.0000
Dy1 Dy 0.0000 0.0000 0.3115
Pb1 Pb 0.0000 0.0000 0.6659
# DFT formation energy in eV per atom: -0.311
# V in Å³/cell: 183.1
# Polymorph energy (0 for the lowest one) in kJ/mol of atoms: 17.21

# PBE Nb3GaB, relaxed
data_Nb3GaB
_chemical_formula_sum 'Nb3 Ga1 B1'
_space_group_name_H-M_alt 'P m -3 m'
_space_group_IT_number 221
_space_group_name_Hall '-P 4 2 3'
_cell_length_a 4.3577
_cell_length_b 4.3577
_cell_length_c 4.3577
_cell_angle_alpha 90.00
_cell_angle_beta 90.00
_cell_angle_gamma 90.00
loop_
_atom_site_label
_atom_site_type_symbol
_atom_site_fract_x
_atom_site_fract_y
_atom_site_fract_z
Nb1 Nb 0.0000 0.0000 0.5000
Ga1 Ga 0.5000 0.5000 0.5000
B1 B 0.0000 0.0000 0.0000
# DFT formation energy in eV per atom: -0.084
# V in Å³/cell: 82.8
# Polymorph energy (0 for the lowest one) in kJ/mol of atoms: 14.67

# PBE LaReHg2, relaxed
data_LaReHg2
_chemical_formula_sum 'La1 Re1 Hg2'
_space_group_name_H-M_alt 'P 4 m m'
_space_group_IT_number 99
_space_group_name_Hall 'P 4 -2'
_cell_length_a 3.5390
_cell_length_b 3.5390
_cell_length_c 7.6294
_cell_angle_alpha 90.00
_cell_angle_beta 90.00
_cell_angle_gamma 90.00
loop_
_atom_site_label
_atom_site_type_symbol
_atom_site_fract_x
_atom_site_fract_y
_atom_site_fract_z
La1 La 0.0000 0.0000 0.0000
Re1 Re 0.5000 0.5000 0.2479
Hg1 Hg 0.0000 0.0000 0.4209
Hg2 Hg 0.5000 0.5000 0.6732
# DFT formation energy in eV per atom: 0.410
# V in Å³/cell: 95.6
# Polymorph energy (0 for the lowest one) in kJ/mol of atoms: 7.80

# PBE BeCuPb2, relaxed
data_BeCuPb2
_chemical_formula_sum 'Be1 Cu1 Pb2'
_space_group_name_H-M_alt 'P m m m'
_space_group_IT_number 47
_space_group_name_Hall '-P 2 2'
_cell_length_a 3.5094
_cell_length_b 3.5226
_cell_length_c 6.8106
_cell_angle_alpha 90.00
_cell_angle_beta 90.00
_cell_angle_gamma 90.00
loop_
_atom_site_label
_atom_site_type_symbol
_atom_site_fract_x
_atom_site_fract_y
_atom_site_fract_z
Be1 Be 0.0000 0.0000 0.0000
Cu1 Cu 0.0000 0.0000 0.5000
Pb1 Pb 0.5000 0.5000 0.2478
# DFT formation energy in eV per atom: 0.553
# V in Å³/cell: 84.2

Question: What is the V in the first record?
Answer: 233.6 Å³/cell

Question: Which of these has the lowest V?
Answer: Nb3GaB